AgSb2 at its PBEsol-relaxed geometry, computed with SCAN.

Size of the total moment   0.000 μB/f.u.
Crystal system   tetragonal
Formation energy without anion corrections   0.801 eV/f.u.

The structure in POSCAR format:
```
AgSb2
1.0
3.902 0.000 0.000
0.000 3.902 0.000
-1.951 -1.951 4.662
Sb Ag
2 1
Direct
0.330 0.330 0.659
0.670 0.670 0.341
0.000 0.000 0.000
```

MgW2Cl at its PBEsol-relaxed geometry, computed with SCAN.

Size of the total moment   0.000 μB/f.u.
Crystal system   orthorhombic
Energy above the most stable polymorph in this dataset   0 meV/atom
Formation energy without anion corrections   0.624 eV/f.u.

The structure in POSCAR format:
```
MgW2Cl
1.0
-0.119 -0.112 2.919
2.088 -1.699 -1.141
5.764 6.752 0.495
Cl W Mg
1 2 1
Direct
0.000 0.000 0.462
0.000 0.000 0.996
0.500 0.500 0.779
0.500 0.500 0.262
```

KGaGe3O8 at its PBEsol-relaxed geometry, computed with SCAN.

Size of the total moment   0.000 μB/f.u.
Crystal system   triclinic
Formation energy without anion corrections   -24.629 eV/f.u.

The structure in POSCAR format:
```
KGaGe3O8
1.0
-5.567 -4.055 3.031
6.241 -1.599 4.597
-2.750 7.841 0.639
O K Ga Ge
16 2 2 6
Direct
0.197 0.934 0.674
0.754 0.314 0.665
0.994 0.858 0.135
0.695 0.671 0.266
0.596 0.936 0.687
0.717 0.405 0.387
0.283 0.595 0.613
0.399 0.270 0.058
0.601 0.730 0.942
0.803 0.066 0.326
0.404 0.064 0.313
0.246 0.686 0.335
0.305 0.329 0.734
0.801 0.347 0.050
0.199 0.653 0.950
0.006 0.142 0.865
0.866 0.722 0.742
0.134 0.278 0.258
0.780 0.191 0.808
0.220 0.809 0.192
0.775 0.822 0.171
0.656 0.193 0.420
0.653 0.414 0.175
0.347 0.586 0.825
0.344 0.807 0.580
0.225 0.178 0.829
```

Sn2Pb2I at its PBEsol-relaxed geometry, computed with SCAN.

Size of the total moment   0.000 μB/f.u.
Crystal system   tetragonal
Formation energy without anion corrections   -0.513 eV/f.u.

The structure in POSCAR format:
```
Sn2Pb2I
1.0
4.356 0.000 0.000
0.000 4.356 0.000
-2.178 -2.178 8.318
Sn Pb I
2 2 1
Direct
0.750 0.250 0.500
0.250 0.750 0.500
0.609 0.609 0.218
0.391 0.391 0.782
0.000 0.000 0.000
```